# SrWO2

SrWO2 after structural relaxation (GGA+U, Alexandria).

a = 3.2391 Å, b = 6.9830 Å, c = 6.9830 Å
α = 123.48°, β = 90.00°, γ = 90.00°
With the nearest neighbours (Å) after each atom.
Atoms (fractional coordinates):
Sr  0.0000  0.2323  0.7677  6 O 2.56-2.67
Sr  0.0000  0.7677  0.2323  6 O 2.56-2.67
W  0.0000  0.2875  0.2875  4 O 2.18
W  0.5000  0.6511  0.6511  2 O 2.01
O  0.5000  0.1200  0.3509  2 W 2.18
O  0.5000  0.3509  0.1200  2 W 2.18
O  0.5000  0.5787  0.8925  1 W 2.01
O  0.5000  0.8925  0.5787  1 W 2.01

volume: 16.5 A^3/atom
symmetry: Amm2, No. 38
energy: -6.413 eV/atom
Fermi-level density of states: 0.14 states/eV/f.u.
energy above the most stable polymorph in this dataset: 120 meV per atom